Computed, not measured: BeNi3 at its PBEsol-relaxed geometry at the meta-GGA SCAN level of DFT. Values from VASP.

Geometry as Quantum ESPRESSO input:
```
&SYSTEM
  ibrav = 0, nat = 4, ntyp = 2
/
ATOMIC_SPECIES
Be 9.01 Be.upf
Ni 58.69 Ni.upf
CELL_PARAMETERS angstrom
-2.2368 -1.0226 0.1201
1.1536 -2.8333 -2.6415
0.8715 -1.4763 3.6602
ATOMIC_POSITIONS crystal
Be 0.0000 0.0000 0.0000
Ni 0.5000 0.5000 0.0000
Ni 0.0000 0.5000 0.5000
Ni 0.5000 0.0000 0.5000
```

## Properties
Energy relative to the elements in eV per atom: -0.187
ρ in g/cm3: 7.95
DFT total energy in eV for the cell shown: -53.6
Crystal system: orthorhombic
D(E_F) in states/eV/cell: 2.767